# CdGa3Cl, optimized geometry, DFT PBE-GGA
# ΔE_f (raw): 0.17 eV/atom
# DOS(E_F): 2.5 states/eV/cell
# Space group: No. 221
# Crystal system: cubic
# V: 146.95 Å³ per cell
data_CdGa3Cl
_chemical_formula_sum 'Cd1 Ga3 Cl1'
_symmetry_space_group_name_H-M 'P 1'
_symmetry_Int_Tables_number 1
_cell_length_a 5.277
_cell_length_b 5.277
_cell_length_c 5.277
_cell_angle_alpha 90.00
_cell_angle_beta 90.00
_cell_angle_gamma 90.00
loop_
_symmetry_equiv_pos_as_xyz
'x,y,z'
loop_
_atom_site_label
_atom_site_type_symbol
_atom_site_fract_x
_atom_site_fract_y
_atom_site_fract_z
Cd1 Cd 0.000 0.000 0.000
Ga1 Ga 0.000 0.000 0.500
Ga2 Ga 0.000 0.500 0.000
Ga3 Ga 0.500 0.000 0.000
Cl1 Cl 0.500 0.500 0.500